The following is a DFT calculation (PBE) of K4AuBr2 after structural relaxation.

The volume comes out at 304.08 Å³/cell. For the mass density, the calculation gives 2.80 g/cm3. The calculation puts the density of states at the Fermi level at 1.83 states/eV/cell. As for the formation energy without anion corrections: -23.8 kcal/mol of atoms.

Cell lengths 4.6003, 8.1242, 9.4379 Å; angles 116.38, 104.11, 90.00 degrees
Closest atoms and distances in Å follow each position.
Fractional positions:
K 0.8745 0.2018 0.7491  3 Br 3.30-3.38, 1 Au 3.38
K 0.1255 0.7982 0.2509  3 Br 3.30-3.38, 1 Au 3.38
K 0.6295 0.2886 0.2591  3 Br 3.32-3.39, 2 Au 3.36
K 0.3705 0.7114 0.7409  3 Br 3.32-3.39, 2 Au 3.36
Au 0.0000 0.0000 0.0000  6 K 3.36-3.38
Br 0.7423 0.7450 0.4846  6 K 3.30-3.39
Br 0.2577 0.2550 0.5154  6 K 3.30-3.39